# 1
# La2ErTe3 PBE optimized geometry
data_La2ErTe3
_cell_length_a 9.091
_cell_length_b 12.704
_cell_length_c 26.660
_cell_angle_alpha 90.00
_cell_angle_beta 90.00
_cell_angle_gamma 90.00
_space_group_name_H-M_alt 'F d d d'
_space_group_IT_number 70
loop_
_space_group_symop_operation_xyz
'x,y,z'
'-x,-y,-z'
'-x+1/4,-y+1/4,z'
'x+1/4,y+1/4,-z'
'x,-y+1/4,-z+1/4'
'-x,y+1/4,z+1/4'
'-x+1/4,y,-z+1/4'
'x+1/4,-y,z+1/4'
'x,y+1/2,z+1/2'
'-x,-y+1/2,-z+1/2'
'-x+1/4,-y+3/4,z+1/2'
'x+1/4,y+3/4,-z+1/2'
'x,-y+3/4,-z+3/4'
'-x,y+3/4,z+3/4'
'-x+1/4,y+1/2,-z+3/4'
'x+1/4,-y+1/2,z+3/4'
'x+1/2,y,z+1/2'
'-x+1/2,-y,-z+1/2'
'-x+3/4,-y+1/4,z+1/2'
'x+3/4,y+1/4,-z+1/2'
'x+1/2,-y+1/4,-z+3/4'
'-x+1/2,y+1/4,z+3/4'
'-x+3/4,y,-z+3/4'
'x+3/4,-y,z+3/4'
'x+1/2,y+1/2,z'
'-x+1/2,-y+1/2,-z'
'-x+3/4,-y+3/4,z'
'x+3/4,y+3/4,-z'
'x+1/2,-y+3/4,-z+1/4'
'-x+1/2,y+3/4,z+1/4'
'-x+3/4,y+1/2,-z+1/4'
'x+3/4,-y+1/2,z+1/4'
loop_
_atom_site_label
_atom_site_type_symbol
_atom_site_fract_x
_atom_site_fract_y
_atom_site_fract_z
_atom_site_occupancy
La1 La 0.125 0.125 0.045 1
La2 La 0.125 0.125 0.373 1
Er1 Er 0.125 0.125 0.542 1
Te1 Te 0.108 0.375 0.875 1
Te2 Te 0.117 0.368 0.711 1
# calculated density: 7.1 g/cm³
# DOS(E_F): 4.07 states/eV/f.u.
# E_form (uncorrected): -1.47 eV per atom
# energy relative to the lowest polymorph listed for this composition: 0 meV per atom

# 2
# La3ErTe4 PBE optimized geometry
data_La3ErTe4
_cell_length_a 9.144
_cell_length_b 12.782
_cell_length_c 4.464
_cell_angle_alpha 90.00
_cell_angle_beta 90.00
_cell_angle_gamma 90.00
_space_group_name_H-M_alt 'C m m m'
_space_group_IT_number 65
_space_group_name_Hall '-C 2 2'
loop_
_atom_site_label
_atom_site_type_symbol
_atom_site_fract_x
_atom_site_fract_y
_atom_site_fract_z
_atom_site_occupancy
La1 La 0.000 0.000 0.000 1
La2 La 0.250 0.250 0.500 1
Er1 Er 0.000 0.500 0.000 1
Te1 Te 0.000 0.257 0.000 1
Te2 Te 0.236 0.500 0.500 1
# calculated density: 7.0 g/cm³
# DOS(E_F): 5.70 states/eV/f.u.
# E_form (uncorrected): -1.49 eV per atom
# energy relative to the lowest polymorph listed for this composition: 3 meV per atom

# 3
# La2Er2Te7 PBE optimized geometry
data_La2Er2Te7
_cell_length_a 4.372
_cell_length_b 16.076
_cell_length_c 9.919
_cell_angle_alpha 90.00
_cell_angle_beta 90.00
_cell_angle_gamma 90.00
_space_group_name_H-M_alt 'I m m 2'
_space_group_IT_number 44
_space_group_name_Hall 'I 2 -2'
loop_
_atom_site_label
_atom_site_type_symbol
_atom_site_fract_x
_atom_site_fract_y
_atom_site_fract_z
_atom_site_occupancy
La1 La 0.000 0.242 0.000 1
Er1 Er 0.000 0.000 0.771 1
Er2 Er 0.000 0.500 0.828 1
Te1 Te 0.000 0.000 0.098 1
Te2 Te 0.000 0.106 0.496 1
Te3 Te 0.000 0.328 0.702 1
Te4 Te 0.000 0.364 0.310 1
# calculated density: 7.2 g/cm³
# DOS(E_F): 5.28 states/eV/f.u.
# E_form (uncorrected): -1.29 eV per atom

# 4
# La3Er2ThTe6 PBE optimized geometry
data_La3Er2ThTe6
_cell_length_a 19.417
_cell_length_b 4.436
_cell_length_c 9.030
_cell_angle_alpha 90.00
_cell_angle_beta 102.02
_cell_angle_gamma 90.00
_space_group_name_H-M_alt 'C 1 2/m 1'
_space_group_IT_number 12
_space_group_name_Hall '-C 2y'
loop_
_atom_site_label
_atom_site_type_symbol
_atom_site_fract_x
_atom_site_fract_y
_atom_site_fract_z
_atom_site_occupancy
La1 La 0.000 0.000 0.000 1
La2 La 0.160 0.500 0.335 1
Er1 Er 0.166 0.500 0.833 1
Th1 Th 0.000 0.000 0.500 1
Te1 Te 0.008 0.500 0.752 1
Te2 Te 0.169 0.000 0.600 1
Te3 Te 0.172 0.000 0.075 1
# calculated density: 7.6 g/cm³
# DOS(E_F): 7.94 states/eV/f.u.
# E_form (uncorrected): -1.37 eV per atom

# 5
# LaEr2Tl3Te6 PBE optimized geometry
data_LaEr2Tl3Te6
_cell_length_a 7.807
_cell_length_b 13.513
_cell_length_c 8.575
_cell_angle_alpha 90.00
_cell_angle_beta 107.68
_cell_angle_gamma 90.00
_space_group_name_H-M_alt 'C 1 2/m 1'
_space_group_IT_number 12
_space_group_name_Hall '-C 2y'
loop_
_atom_site_label
_atom_site_type_symbol
_atom_site_fract_x
_atom_site_fract_y
_atom_site_fract_z
_atom_site_occupancy
La1 La 0.000 0.000 0.000 1
Er1 Er 0.000 0.333 0.000 1
Tl1 Tl 0.000 0.163 0.500 1
Tl2 Tl 0.000 0.500 0.500 1
Te1 Te 0.224 0.500 0.212 1
Te2 Te 0.245 0.173 0.216 1
# calculated density: 7.1 g/cm³
# E_form (uncorrected): -1.07 eV per atom

# 6
# LaEr3Tl4Te8 PBE optimized geometry
data_LaEr3Tl4Te8
_cell_length_a 8.9684
_cell_length_b 8.9684
_cell_length_c 24.5378
_cell_angle_alpha 90.00
_cell_angle_beta 90.00
_cell_angle_gamma 120.00
_space_group_name_H-M_alt 'R -3 m'
_space_group_IT_number 166
_space_group_name_Hall '-R 3 2"'
loop_
_atom_site_label
_atom_site_type_symbol
_atom_site_fract_x
_atom_site_fract_y
_atom_site_fract_z
_atom_site_occupancy
La1 La 0.0000 0.0000 0.0000 1
Er1 Er 0.0000 0.5000 0.0000 1
Tl1 Tl 0.0000 0.0000 0.5000 1
Tl2 Tl 0.0000 0.5000 0.5000 1
Te1 Te 0.0000 0.0000 0.2634 1
Te2 Te 0.0119 0.5059 0.2617 1
# calculated density: 7.2 g/cm³
# E_form (uncorrected): -1.06 eV per atom

# 7
# La2ErTl3Te6 PBE optimized geometry
data_La2ErTl3Te6
_cell_length_a 7.948
_cell_length_b 13.761
_cell_length_c 8.575
_cell_angle_alpha 90.00
_cell_angle_beta 108.01
_cell_angle_gamma 90.00
_space_group_name_H-M_alt 'C 1 2/m 1'
_space_group_IT_number 12
_space_group_name_Hall '-C 2y'
loop_
_atom_site_label
_atom_site_type_symbol
_atom_site_fract_x
_atom_site_fract_y
_atom_site_fract_z
_atom_site_occupancy
La1 La 0.000 0.166 0.000 1
Er1 Er 0.000 0.500 0.000 1
Tl1 Tl 0.000 0.000 0.500 1
Tl2 Tl 0.000 0.331 0.500 1
Te1 Te 0.232 0.340 0.217 1
Te2 Te 0.247 0.500 0.780 1
# calculated density: 6.8 g/cm³
# E_form (uncorrected): -1.11 eV per atom

# 8
# La3ErTl3Te8 PBE optimized geometry
data_La3ErTl3Te8
_cell_length_a 9.1972
_cell_length_b 9.1972
_cell_length_c 24.1599
_cell_angle_alpha 90.00
_cell_angle_beta 90.00
_cell_angle_gamma 120.00
_space_group_name_H-M_alt 'R -3 m'
_space_group_IT_number 166
_space_group_name_Hall '-R 3 2"'
loop_
_atom_site_label
_atom_site_type_symbol
_atom_site_fract_x
_atom_site_fract_y
_atom_site_fract_z
_atom_site_occupancy
La1 La 0.0000 0.5000 0.0000 1
Er1 Er 0.0000 0.0000 0.0000 1
Tl1 Tl 0.0000 0.5000 0.5000 1
Te1 Te 0.0000 0.0000 0.2579 1
Te2 Te 0.0138 0.5069 0.7392 1
# calculated density: 6.2 g/cm³
# DOS(E_F): 8.84 states/eV/f.u.
# E_form (uncorrected): -1.11 eV per atom

# 9
# La3ErTm3Te8 PBE optimized geometry
data_La3ErTm3Te8
_cell_length_a 8.7795
_cell_length_b 8.7795
_cell_length_c 21.9768
_cell_angle_alpha 90.00
_cell_angle_beta 90.00
_cell_angle_gamma 120.00
_space_group_name_H-M_alt 'R -3 m'
_space_group_IT_number 166
_space_group_name_Hall '-R 3 2"'
loop_
_atom_site_label
_atom_site_type_symbol
_atom_site_fract_x
_atom_site_fract_y
_atom_site_fract_z
_atom_site_occupancy
La1 La 0.0000 0.5000 0.0000 1
Er1 Er 0.0000 0.0000 0.5000 1
Tm1 Tm 0.0000 0.5000 0.5000 1
Te1 Te 0.0000 0.0000 0.2432 1
Te2 Te 0.0090 0.5045 0.7547 1
# calculated density: 7.2 g/cm³
# DOS(E_F): 7.46 states/eV/f.u.
# E_form (uncorrected): -1.43 eV per atom

# 10
# La2ErTm3Te6 PBE optimized geometry
data_La2ErTm3Te6
_cell_length_a 19.277
_cell_length_b 4.347
_cell_length_c 8.903
_cell_angle_alpha 90.00
_cell_angle_beta 104.51
_cell_angle_gamma 90.00
_space_group_name_H-M_alt 'C 1 2/m 1'
_space_group_IT_number 12
_space_group_name_Hall '-C 2y'
loop_
_atom_site_label
_atom_site_type_symbol
_atom_site_fract_x
_atom_site_fract_y
_atom_site_fract_z
_atom_site_occupancy
La1 La 0.168 0.000 0.335 1
Er1 Er 0.000 0.500 0.000 1
Tm1 Tm 0.000 0.500 0.500 1
Tm2 Tm 0.173 0.000 0.836 1
Te1 Te 0.007 0.000 0.752 1
Te2 Te 0.161 0.500 0.595 1
Te3 Te 0.164 0.500 0.067 1
# calculated density: 7.9 g/cm³
# DOS(E_F): 6.93 states/eV/f.u.
# E_form (uncorrected): -1.32 eV per atom

# 11
# La4Er3TmTe8 PBE optimized geometry
data_La4Er3TmTe8
_cell_length_a 8.7724
_cell_length_b 8.7724
_cell_length_c 22.4002
_cell_angle_alpha 90.00
_cell_angle_beta 90.00
_cell_angle_gamma 120.00
_space_group_name_H-M_alt 'R -3 m'
_space_group_IT_number 166
_space_group_name_Hall '-R 3 2"'
loop_
_atom_site_label
_atom_site_type_symbol
_atom_site_fract_x
_atom_site_fract_y
_atom_site_fract_z
_atom_site_occupancy
La1 La 0.0000 0.0000 0.0000 1
La2 La 0.0000 0.5000 0.0000 1
Er1 Er 0.0000 0.5000 0.5000 1
Tm1 Tm 0.0000 0.0000 0.5000 1
Te1 Te 0.0000 0.0000 0.2431 1
Te2 Te 0.0008 0.5004 0.2429 1
# calculated density: 7.5 g/cm³
# DOS(E_F): 11.36 states/eV/f.u.
# E_form (uncorrected): -1.41 eV per atom

# 12
# La4ErTm3Te8 PBE optimized geometry
data_La4ErTm3Te8
_cell_length_a 8.7517
_cell_length_b 8.7517
_cell_length_c 22.4378
_cell_angle_alpha 90.00
_cell_angle_beta 90.00
_cell_angle_gamma 120.00
_space_group_name_H-M_alt 'R -3 m'
_space_group_IT_number 166
_space_group_name_Hall '-R 3 2"'
loop_
_atom_site_label
_atom_site_type_symbol
_atom_site_fract_x
_atom_site_fract_y
_atom_site_fract_z
_atom_site_occupancy
La1 La 0.0000 0.0000 0.0000 1
La2 La 0.0000 0.5000 0.0000 1
Er1 Er 0.0000 0.0000 0.5000 1
Tm1 Tm 0.0000 0.5000 0.5000 1
Te1 Te 0.0000 0.0000 0.2426 1
Te2 Te 0.0008 0.5004 0.7572 1
# calculated density: 7.5 g/cm³
# DOS(E_F): 11.03 states/eV/f.u.
# E_form (uncorrected): -1.40 eV per atom

# 13
# LaY2ErTe6 PBE optimized geometry
data_LaY2ErTe6
_cell_length_a 7.8059
_cell_length_b 7.8059
_cell_length_c 21.1421
_cell_angle_alpha 90.00
_cell_angle_beta 90.00
_cell_angle_gamma 120.00
_space_group_name_H-M_alt 'R 3'
_space_group_IT_number 146
_space_group_name_Hall 'R 3'
loop_
_atom_site_label
_atom_site_type_symbol
_atom_site_fract_x
_atom_site_fract_y
_atom_site_fract_z
_atom_site_occupancy
La1 La 0.0000 0.0000 0.0000 1
Y1 Y 0.0000 0.0000 0.3061 1
Y2 Y 0.0000 0.0000 0.8094 1
Er1 Er 0.0000 0.0000 0.4949 1
Te1 Te 0.0006 0.3171 0.8994 1
Te2 Te 0.0200 0.6456 0.0679 1
# calculated density: 5.6 g/cm³
# E_form (uncorrected): -1.40 eV per atom

# 14
# La4Y3ErTe8 PBE optimized geometry
data_La4Y3ErTe8
_cell_length_a 8.8711
_cell_length_b 8.8711
_cell_length_c 22.1919
_cell_angle_alpha 90.00
_cell_angle_beta 90.00
_cell_angle_gamma 120.00
_space_group_name_H-M_alt 'R -3 m'
_space_group_IT_number 166
_space_group_name_Hall '-R 3 2"'
loop_
_atom_site_label
_atom_site_type_symbol
_atom_site_fract_x
_atom_site_fract_y
_atom_site_fract_z
_atom_site_occupancy
La1 La 0.0000 0.0000 0.0000 1
La2 La 0.0000 0.5000 0.0000 1
Y1 Y 0.0000 0.5000 0.5000 1
Er1 Er 0.0000 0.0000 0.5000 1
Te1 Te 0.0000 0.0000 0.2446 1
Te2 Te 0.0020 0.5010 0.2441 1
# calculated density: 6.6 g/cm³
# DOS(E_F): 12.28 states/eV/f.u.
# E_form (uncorrected): -1.44 eV per atom

# 15
# La3Y2ErTe6 PBE optimized geometry
data_La3Y2ErTe6
_cell_length_a 19.544
_cell_length_b 4.426
_cell_length_c 9.013
_cell_angle_alpha 90.00
_cell_angle_beta 104.50
_cell_angle_gamma 90.00
_space_group_name_H-M_alt 'C 1 2/m 1'
_space_group_IT_number 12
_space_group_name_Hall '-C 2y'
loop_
_atom_site_label
_atom_site_type_symbol
_atom_site_fract_x
_atom_site_fract_y
_atom_site_fract_z
_atom_site_occupancy
La1 La 0.000 0.000 0.000 1
La2 La 0.168 0.500 0.333 1
Y1 Y 0.167 0.500 0.833 1
Er1 Er 0.000 0.000 0.500 1
Te1 Te 0.003 0.500 0.738 1
Te2 Te 0.162 0.000 0.591 1
Te3 Te 0.170 0.000 0.074 1
# calculated density: 6.7 g/cm³
# DOS(E_F): 7.21 states/eV/f.u.
# E_form (uncorrected): -1.44 eV per atom

# 16
# La4YEr3Te8 PBE optimized geometry
data_La4YEr3Te8
_cell_length_a 8.8162
_cell_length_b 8.8162
_cell_length_c 22.2955
_cell_angle_alpha 90.00
_cell_angle_beta 90.00
_cell_angle_gamma 120.00
_space_group_name_H-M_alt 'R -3 m'
_space_group_IT_number 166
_space_group_name_Hall '-R 3 2"'
loop_
_atom_site_label
_atom_site_type_symbol
_atom_site_fract_x
_atom_site_fract_y
_atom_site_fract_z
_atom_site_occupancy
La1 La 0.0000 0.0000 0.0000 1
La2 La 0.0000 0.5000 0.0000 1
Y1 Y 0.0000 0.0000 0.5000 1
Er1 Er 0.0000 0.5000 0.5000 1
Te1 Te 0.0000 0.0000 0.2432 1
Te2 Te 0.0019 0.5010 0.7564 1
# calculated density: 7.2 g/cm³
# DOS(E_F): 11.78 states/eV/f.u.
# E_form (uncorrected): -1.42 eV per atom

# 17
# La2YEr3Te6 PBE optimized geometry
data_La2YEr3Te6
_cell_length_a 19.324
_cell_length_b 4.376
_cell_length_c 8.915
_cell_angle_alpha 90.00
_cell_angle_beta 104.42
_cell_angle_gamma 90.00
_space_group_name_H-M_alt 'C 1 2/m 1'
_space_group_IT_number 12
_space_group_name_Hall '-C 2y'
loop_
_atom_site_label
_atom_site_type_symbol
_atom_site_fract_x
_atom_site_fract_y
_atom_site_fract_z
_atom_site_occupancy
La1 La 0.167 0.000 0.333 1
Y1 Y 0.000 0.500 0.000 1
Er1 Er 0.000 0.500 0.500 1
Er2 Er 0.171 0.000 0.834 1
Te1 Te 0.006 0.000 0.750 1
Te2 Te 0.162 0.500 0.594 1
Te3 Te 0.165 0.500 0.068 1
# calculated density: 7.4 g/cm³
# DOS(E_F): 6.90 states/eV/f.u.
# E_form (uncorrected): -1.36 eV per atom

# 18
# La2ErTh PBE optimized geometry
data_La2ErTh
_cell_length_a 11.835
_cell_length_b 3.544
_cell_length_c 13.055
_cell_angle_alpha 90.00
_cell_angle_beta 90.00
_cell_angle_gamma 90.00
_space_group_name_H-M_alt 'P n m a'
_space_group_IT_number 62
_space_group_name_Hall '-P 2ac 2n'
loop_
_atom_site_label
_atom_site_type_symbol
_atom_site_fract_x
_atom_site_fract_y
_atom_site_fract_z
_atom_site_occupancy
La1 La 0.230 0.250 0.246 1
La2 La 0.249 0.750 0.001 1
Er1 Er 0.019 0.250 0.865 1
Th1 Th 0.019 0.750 0.614 1
# ΔE_f: 0.1358 eV/atom
# calculated density: 8.2 g/cm³
# DOS(E_F): 6.65 states/eV/f.u.
# energy relative to the lowest polymorph listed for this composition: 112 meV per atom

# 19
# LaEr6Th2 PBE optimized geometry
data_LaEr6Th2
_cell_length_a 3.5557
_cell_length_b 3.5557
_cell_length_c 26.3747
_cell_angle_alpha 90.00
_cell_angle_beta 90.00
_cell_angle_gamma 120.00
_space_group_name_H-M_alt 'P -6 m 2'
_space_group_IT_number 187
_space_group_name_Hall 'P -6 2'
loop_
_atom_site_label
_atom_site_type_symbol
_atom_site_fract_x
_atom_site_fract_y
_atom_site_fract_z
_atom_site_occupancy
La1 La 0.0000 0.0000 0.0000 1
Er1 Er 0.0000 0.0000 0.2195 1
Er2 Er 0.0000 0.0000 0.4375 1
Er3 Er 0.3333 0.6667 0.1145 1
Th1 Th 0.3333 0.6667 0.3311 1
# ΔE_f: 0.0827 eV/atom
# calculated density: 9.2 g/cm³
# DOS(E_F): 18.63 states/eV/f.u.
# energy relative to the lowest polymorph listed for this composition: 0 meV per atom